First-principles (SCAN) data for a crystal of Ta2RuPt relaxed with PBEsol, as listed in Alexandria via LeMat-Bulk.

The calculation puts the energy of formation from the pure elements at -0.539 eV per atom. The total energy is -60.085 eV/atom. The calculation puts the density of states at the Fermi level at 0.69 states/eV per atom.

a b c (Å): 2.832 4.566 4.931
angles (deg): 90.00 95.89 90.00
Element x y z (fractional)
Ta 0.000 0.000 0.000
Ta 0.178 0.500 0.632
Ru 0.611 0.000 0.507
Pt 0.571 0.500 0.150



First-principles (SCAN) data for a crystal of TaRuPt2 relaxed with PBEsol, as listed in Alexandria via LeMat-Bulk.

The calculation puts the energy of formation from the pure elements at -0.140 eV per atom. The total energy is -60.589 eV/atom. The calculation puts the density of states at the Fermi level at 1.13 states/eV per atom.

a b c (Å): 9.229 9.229 9.229
angles (deg): 17.30 17.30 17.30
Element x y z (fractional)
Ta 0.000 0.000 0.000
Ru 0.750 0.750 0.750
Pt 0.251 0.251 0.251
Pt 0.497 0.497 0.497



First-principles (SCAN) data for a crystal of TaRu2Pt relaxed with PBEsol, as listed in Alexandria via LeMat-Bulk.

The calculation puts the energy of formation from the pure elements at -0.571 eV per atom. The total energy is -52.178 eV/atom. The calculation puts the density of states at the Fermi level at 0.79 states/eV per atom.

a b c (Å): 3.893 3.893 3.830
angles (deg): 90.00 90.00 90.00
Element x y z (fractional)
Ta 0.000 0.000 0.000
Ru 0.000 0.500 0.500
Ru 0.500 0.000 0.500
Pt 0.500 0.500 0.000



First-principles (SCAN) data for a crystal of TaRuPt2 relaxed with PBEsol, as listed in Alexandria via LeMat-Bulk.

The calculation puts the energy of formation from the pure elements at -0.642 eV per atom. The total energy is -61.091 eV/atom. The calculation puts the density of states at the Fermi level at 0.57 states/eV per atom.

a b c (Å): 4.862 4.862 4.862
angles (deg): 133.39 133.39 68.05
Element x y z (fractional)
Ta 0.000 0.000 0.000
Ru 0.500 0.500 0.000
Pt 0.250 0.750 0.500
Pt 0.750 0.250 0.500



First-principles (SCAN) data for a crystal of TaRuPt2 relaxed with PBEsol, as listed in Alexandria via LeMat-Bulk.

The calculation puts the energy of formation from the pure elements at -0.164 eV per atom. The total energy is -60.613 eV/atom. The calculation puts the density of states at the Fermi level at 0.90 states/eV per atom.

a b c (Å): 9.196 9.196 9.196
angles (deg): 17.34 17.34 17.34
Element x y z (fractional)
Ta 0.000 0.000 0.000
Ru 0.500 0.500 0.500
Pt 0.248 0.248 0.248
Pt 0.752 0.752 0.752



First-principles (SCAN) data for a crystal of Ta2RuPt relaxed with PBEsol, as listed in Alexandria via LeMat-Bulk.

The calculation puts the energy of formation from the pure elements at -0.281 eV per atom. The total energy is -59.828 eV/atom. The calculation puts the density of states at the Fermi level at 0.40 states/eV per atom.

a b c (Å): 4.461 4.461 4.461
angles (deg): 60.00 60.00 60.00
Element x y z (fractional)
Ta 0.000 0.000 0.000
Ta 0.250 0.250 0.250
Ru 0.750 0.750 0.750
Pt 0.500 0.500 0.500



First-principles (SCAN) data for a crystal of TaRu3Pt relaxed with PBEsol, as listed in Alexandria via LeMat-Bulk.

The calculation puts the energy of formation from the pure elements at 1.721 eV per atom. The total energy is -46.530 eV/atom. The calculation puts the density of states at the Fermi level at 0.71 states/eV per atom.

a b c (Å): 4.575 4.575 4.575
angles (deg): 90.00 90.00 90.00
Element x y z (fractional)
Ta 0.000 0.000 0.000
Ru 0.000 0.000 0.500
Ru 0.000 0.500 0.000
Ru 0.500 0.000 0.000
Pt 0.500 0.500 0.500



First-principles (SCAN) data for a crystal of TaRuPt3 relaxed with PBEsol, as listed in Alexandria via LeMat-Bulk.

The calculation puts the energy of formation from the pure elements at 1.371 eV per atom. The total energy is -61.027 eV/atom. The calculation puts the density of states at the Fermi level at 0.87 states/eV per atom.

a b c (Å): 4.739 4.739 4.739
angles (deg): 90.00 90.00 90.00
Element x y z (fractional)
Ta 0.000 0.000 0.000
Ru 0.500 0.500 0.500
Pt 0.000 0.000 0.500
Pt 0.000 0.500 0.000
Pt 0.500 0.000 0.000



First-principles (SCAN) data for a crystal of Ta2RuPt relaxed with PBEsol, as listed in Alexandria via LeMat-Bulk.

The calculation puts the energy of formation from the pure elements at -0.545 eV per atom. The total energy is -60.091 eV/atom. The calculation puts the density of states at the Fermi level at 0.85 states/eV per atom.

a b c (Å): 2.891 3.807 5.704
angles (deg): 90.00 90.00 90.00
Element x y z (fractional)
Ta 0.000 0.000 0.243
Ta 0.000 0.000 0.757
Ru 0.500 0.500 0.000
Pt 0.500 0.500 0.500



First-principles (SCAN) data for a crystal of TaRu2Pt relaxed with PBEsol, as listed in Alexandria via LeMat-Bulk.

The calculation puts the energy of formation from the pure elements at -0.485 eV per atom. The total energy is -52.093 eV/atom. The calculation puts the density of states at the Fermi level at 0.57 states/eV per atom.

a b c (Å): 4.760 4.760 4.760
angles (deg): 132.05 132.05 70.14
Element x y z (fractional)
Ta 0.000 0.000 0.000
Ru 0.250 0.750 0.500
Ru 0.500 0.500 0.000
Pt 0.750 0.250 0.500



First-principles (SCAN) data for a crystal of TaRuPt2 relaxed with PBEsol, as listed in Alexandria via LeMat-Bulk.

The calculation puts the energy of formation from the pure elements at -0.713 eV per atom. The total energy is -61.162 eV/atom. The calculation puts the density of states at the Fermi level at 0.56 states/eV per atom.

a b c (Å): 3.844 3.844 4.023
angles (deg): 90.00 90.00 90.00
Element x y z (fractional)
Ta 0.000 0.000 0.000
Ru 0.500 0.500 0.000
Pt 0.000 0.500 0.500
Pt 0.500 0.000 0.500



First-principles (SCAN) data for a crystal of TaRuPt relaxed with PBEsol, as listed in Alexandria via LeMat-Bulk.

The calculation puts the energy of formation from the pure elements at -0.150 eV per atom. The total energy is -57.350 eV/atom. The calculation puts the density of states at the Fermi level at 1.15 states/eV per atom.

a b c (Å): 2.802 2.802 6.745
angles (deg): 90.00 90.00 120.00
Element x y z (fractional)
Ta 0.000 0.000 0.000
Ru 0.667 0.333 0.323
Pt 0.333 0.667 0.664



Q: Which value of energy of formation from the pure elements does entry 3 give?
A: -0.571 eV per atom



Q: Among the records above, which one has the lowest energy of formation from the pure elements?
A: number 11



Q: Look up the energy of formation from the pure elements of the fifth one.
A: -0.164 eV per atom